# TiSn3F, relaxed, DFT GGA-PBE
data_TiSn3F
_space_group_name_H-M_alt 'P m -3 m'
_space_group_IT_number 221
_space_group_name_Hall '-P 4 2 3'
_cell_length_a 4.816
_cell_length_b 4.816
_cell_length_c 4.816
_cell_angle_alpha 90.00
_cell_angle_beta 90.00
_cell_angle_gamma 90.00
loop_
_atom_site_label
_atom_site_type_symbol
_atom_site_fract_x
_atom_site_fract_y
_atom_site_fract_z
_atom_site_occupancy
Ti1 Ti 0.000 0.000 0.000 1
Sn1 Sn 0.000 0.500 0.500 1
F1 F 0.500 0.500 0.500 1
# Crystal system: cubic
# Uncorrected formation energy (eV per atom): -0.2121
# Energy (eV for the cell shown): -22.84
# DOS(E_F) (states/eV per atom): 1.22